A plane-wave DFT calculation with GGA-PBE was carried out for crystalline SiNi9Sb2 at its relaxed geometry.

Cell lengths 3.675, 3.675, 10.884 Å; angles 90.00, 90.00, 90.00 degrees
Atoms (fractional coordinates):
Si: 0.000 0.000 0.000
Ni: 0.500 0.500 0.000
Ni: 0.500 0.500 0.327
Ni: 0.500 0.500 0.673
Ni: 0.500 0.000 0.151
Ni: 0.500 0.000 0.500
Ni: 0.500 0.000 0.849
Ni: 0.000 0.500 0.151
Ni: 0.000 0.500 0.500
Ni: 0.000 0.500 0.849
Sb: 0.000 0.000 0.326
Sb: 0.000 0.000 0.674

Calculated values
Density of states at the Fermi level = 7.55 states/eV/f.u.
Space-group type = P4/mmm, No. 123
E = -5.71 eV/atom
Crystal system = tetragonal

=====

A plane-wave DFT calculation with GGA-PBE was carried out for crystalline BaTa2Ru at its relaxed geometry.

Cell lengths 4.810, 4.810, 4.810 Å; angles 60.00, 60.00, 60.00 degrees
Atoms (fractional coordinates):
Ru: 0.000 0.000 0.000
Ba: 0.500 0.500 0.500
Ta: 0.250 0.250 0.250
Ta: 0.750 0.750 0.750

Calculated values
Density of states at the Fermi level = 3.58 states/eV/f.u.
Space-group type = Fm-3m, No. 225
E = -7.72 eV/atom
Crystal system = cubic

=====

A plane-wave DFT calculation with GGA-PBE was carried out for crystalline PrDy2Cd4 at its relaxed geometry.

Cell lengths 5.340, 5.340, 8.103 Å; angles 109.24, 109.24, 90.00 degrees
Atoms (fractional coordinates):
Pr: 0.000 0.000 0.000
Cd: 0.378 0.878 0.757
Cd: 0.878 0.378 0.757
Cd: 0.622 0.122 0.243
Cd: 0.122 0.622 0.243
Dy: 0.743 0.743 0.486
Dy: 0.257 0.257 0.514

Calculated values
Density of states at the Fermi level = 5.38 states/eV/f.u.
Space-group type = I4/mmm, No. 139
E = -2.67 eV/atom
Crystal system = tetragonal

=====

A plane-wave DFT calculation with GGA-PBE was carried out for crystalline CeSm2MoN4 at its relaxed geometry.

Cell lengths 3.455, 6.229, 12.087 Å; angles 90.00, 90.00, 106.10 degrees
Atoms (fractional coordinates):
Ce: 0.099 0.198 0.750
Ce: 0.901 0.802 0.250
Sm: 0.369 0.739 0.540
Sm: 0.631 0.261 0.040
Sm: 0.631 0.261 0.460
Sm: 0.369 0.739 0.960
Mo: 0.839 0.678 0.750
Mo: 0.161 0.322 0.250
N: 0.268 0.536 0.130
N: 0.732 0.464 0.630
N: 0.732 0.464 0.870
N: 0.268 0.536 0.370
N: 0.000 0.000 0.500
N: 0.000 0.000 0.000
N: 0.443 0.887 0.750
N: 0.557 0.113 0.250

Calculated values
Density of states at the Fermi level = 7.25 states/eV/f.u.
Space-group type = Cmcm, No. 63
E = -8.47 eV/atom
Crystal system = orthorhombic

=====

A plane-wave DFT calculation with GGA-PBE was carried out for crystalline RbTa3V at its relaxed geometry.

Cell lengths 4.893, 4.893, 4.893 Å; angles 90.00, 90.00, 90.00 degrees
Atoms (fractional coordinates):
Ta: 0.000 0.500 0.000
Ta: 0.000 0.000 0.500
Ta: 0.500 0.000 0.000
Rb: 0.500 0.500 0.500
V: 0.000 0.000 0.000

Calculated values
Density of states at the Fermi level = 6.06 states/eV/f.u.
Space-group type = Pm-3m, No. 221
E = -7.50 eV/atom
Crystal system = cubic

=====

A plane-wave DFT calculation with GGA-PBE was carried out for crystalline LiCaBe2Al at its relaxed geometry.

Cell lengths 4.503, 5.536, 4.503 Å; angles 90.00, 90.00, 90.00 degrees
Atoms (fractional coordinates):
Be: 0.000 0.000 0.500
Be: 0.500 0.000 0.000
Ca: 0.000 0.500 0.000
Al: 0.000 0.000 0.000
Li: 0.500 0.500 0.500

Calculated values
Density of states at the Fermi level = 2.53 states/eV/f.u.
Space-group type = P4/mmm, No. 123
E = -2.32 eV/atom
Crystal system = tetragonal

=====

A plane-wave DFT calculation with GGA-PBE was carried out for crystalline BaReSb2 at its relaxed geometry.

Cell lengths 5.271, 5.271, 5.271 Å; angles 60.00, 60.00, 60.00 degrees
Atoms (fractional coordinates):
Ba: 0.500 0.500 0.500
Re: 0.750 0.750 0.750
Sb: 0.000 0.000 0.000
Sb: 0.250 0.250 0.250

Calculated values
Density of states at the Fermi level = 4.63 states/eV/f.u.
Space-group type = F-43m, No. 216
E = -4.81 eV/atom
Crystal system = cubic

=====

A plane-wave DFT calculation with GGA-PBE was carried out for crystalline Ba4NdMg5 at its relaxed geometry.

Cell lengths 4.208, 4.208, 21.806 Å; angles 90.00, 90.00, 90.00 degrees
Atoms (fractional coordinates):
Ba: 0.000 0.000 0.185
Ba: 0.000 0.000 0.395
Ba: 0.000 0.000 0.605
Ba: 0.000 0.000 0.815
Nd: 0.000 0.000 0.000
Mg: 0.500 0.500 0.077
Mg: 0.500 0.500 0.291
Mg: 0.500 0.500 0.500
Mg: 0.500 0.500 0.709
Mg: 0.500 0.500 0.923

Calculated values
Density of states at the Fermi level = 6.80 states/eV/f.u.
Space-group type = P4/mmm, No. 123
E = -2.10 eV/atom
Crystal system = tetragonal

=====

A plane-wave DFT calculation with GGA-PBE was carried out for crystalline KPu2BiO8 at its relaxed geometry.

Cell lengths 6.098, 6.098, 5.902 Å; angles 90.00, 90.00, 120.00 degrees
Atoms (fractional coordinates):
K: 0.000 0.000 0.000
Pu: 0.667 0.333 0.059
Pu: 0.333 0.667 0.941
Bi: 0.000 0.000 0.500
O: 0.940 0.608 0.838
O: 0.392 0.332 0.838
O: 0.668 0.060 0.838
O: 0.060 0.392 0.162
O: 0.608 0.668 0.162
O: 0.332 0.940 0.162
O: 0.667 0.333 0.375
O: 0.333 0.667 0.625

Calculated values
Density of states at the Fermi level = 7.65 states/eV/f.u.
Space-group type = P-3, No. 147
E = -7.59 eV/atom
Crystal system = trigonal

=====

A plane-wave DFT calculation with GGA-PBE was carried out for crystalline KSbPt2 at its relaxed geometry.

Cell lengths 6.637, 6.755, 8.651 Å; angles 90.00, 90.00, 89.01 degrees
Atoms (fractional coordinates):
K: 0.888 0.235 0.526
K: 0.612 0.265 0.026
K: 0.112 0.765 0.474
K: 0.388 0.735 0.974
Sb: 0.665 0.884 0.283
Sb: 0.835 0.616 0.783
Sb: 0.335 0.116 0.717
Sb: 0.165 0.384 0.217
Pt: 0.990 0.049 0.156
Pt: 0.510 0.451 0.656
Pt: 0.010 0.951 0.844
Pt: 0.490 0.549 0.344
Pt: 0.422 0.168 0.418
Pt: 0.078 0.332 0.918
Pt: 0.578 0.832 0.582
Pt: 0.922 0.668 0.082

Calculated values
Density of states at the Fermi level = 1.98 states/eV/f.u.
Space-group type = P2_1/c, No. 14
E = -4.60 eV/atom
Crystal system = monoclinic

=====

A plane-wave DFT calculation with GGA-PBE was carried out for crystalline LaPrIr at its relaxed geometry.

Cell lengths 5.459, 4.709, 7.031 Å; angles 90.25, 93.50, 89.98 degrees
Atoms (fractional coordinates):
Pr: 0.553 0.999 0.250
Pr: 0.447 0.001 0.750
Ir: 0.000 0.000 0.000
Ir: 0.500 0.500 0.500
La: 0.055 0.500 0.249
La: 0.945 0.500 0.751

Calculated values
Density of states at the Fermi level = 2.31 states/eV/f.u.
Space-group type = P-1, No. 2
E = -6.73 eV/atom
Crystal system = triclinic

=====

A plane-wave DFT calculation with GGA-PBE was carried out for crystalline TlCrCl at its relaxed geometry.

Cell lengths 3.472, 3.472, 7.553 Å; angles 90.00, 90.00, 120.00 degrees
Atoms (fractional coordinates):
Cr: 0.333 0.667 0.292
Tl: 0.667 0.333 0.610
Cl: 0.000 0.000 0.098

Calculated values
Density of states at the Fermi level = 4.04 states/eV/f.u.
Space-group type = P3m1, No. 156
E = -4.63 eV/atom
Crystal system = trigonal

=====

Please write out number 1 again, unchanged.
A plane-wave DFT calculation with GGA-PBE was carried out for crystalline SiNi9Sb2 at its relaxed geometry.

Cell lengths 3.675, 3.675, 10.884 Å; angles 90.00, 90.00, 90.00 degrees
Atoms (fractional coordinates):
Si: 0.000 0.000 0.000
Ni: 0.500 0.500 0.000
Ni: 0.500 0.500 0.327
Ni: 0.500 0.500 0.673
Ni: 0.500 0.000 0.151
Ni: 0.500 0.000 0.500
Ni: 0.500 0.000 0.849
Ni: 0.000 0.500 0.151
Ni: 0.000 0.500 0.500
Ni: 0.000 0.500 0.849
Sb: 0.000 0.000 0.326
Sb: 0.000 0.000 0.674

Calculated values
Density of states at the Fermi level = 7.55 states/eV/f.u.
Space-group type = P4/mmm, No. 123
E = -5.71 eV/atom
Crystal system = tetragonal